TbHoFePd: optimized geometry, GGA-PBE. Values from VASP.

Summary:
DFT formation energy ... -1.25 eV per formula unit

The structure in Quantum ESPRESSO input format:
```
&SYSTEM
  ibrav = 0, nat = 4, ntyp = 4
/
ATOMIC_SPECIES
Tb 158.93 Tb.upf
Ho 164.93 Ho.upf
Pd 106.42 Pd.upf
Fe 55.84 Fe.upf
CELL_PARAMETERS angstrom
-0.1761 3.6000 3.2461
1.5248 -0.7536 4.5426
4.1037 2.0664 1.5551
ATOMIC_POSITIONS crystal
Tb 0.2500 0.2500 0.2500
Ho 0.7500 0.7500 0.7500
Pd 0.0000 0.0000 0.0000
Fe 0.5000 0.5000 0.5000
```


Hf2MnRu: optimized geometry, GGA-PBE. Values from VASP.

Summary:
DFT formation energy ... -1.95 eV per formula unit

The structure in Quantum ESPRESSO input format:
```
&SYSTEM
  ibrav = 0, nat = 4, ntyp = 3
/
ATOMIC_SPECIES
Ru 101.07 Ru.upf
Mn 54.94 Mn.upf
Hf 178.49 Hf.upf
CELL_PARAMETERS angstrom
3.2018 0.0000 0.0000
0.0000 3.2018 0.0000
0.0000 0.0000 6.4257
ATOMIC_POSITIONS crystal
Ru 0.5000 0.5000 0.5000
Mn 0.5000 0.5000 0.0000
Hf 0.0000 0.0000 0.7556
Hf 0.0000 0.0000 0.2444
```


ErTm2Hg4: optimized geometry, GGA-PBE. Values from VASP.

Summary:
DFT formation energy ... -2.30 eV per formula unit
Energy above the most stable polymorph in this dataset ... 0.00 kcal/mol of atoms

The structure in Quantum ESPRESSO input format:
```
&SYSTEM
  ibrav = 0, nat = 7, ntyp = 3
/
ATOMIC_SPECIES
Tm 168.93 Tm.upf
Hg 200.59 Hg.upf
Er 167.26 Er.upf
CELL_PARAMETERS angstrom
4.8184 0.0000 1.5054
2.1741 4.3001 1.5054
-0.1766 -0.1086 9.0294
ATOMIC_POSITIONS crystal
Tm 0.7548 0.7548 0.7356
Tm 0.2452 0.2452 0.2644
Hg 0.8731 0.8731 0.3807
Hg 0.1269 0.1269 0.6193
Hg 0.6239 0.6239 0.1282
Hg 0.3761 0.3761 0.8718
Er 0.0000 0.0000 0.0000
```


YBe2: optimized geometry, GGA-PBE. Values from VASP.

Summary:
DFT formation energy ... 1.44 eV per formula unit

The structure in Quantum ESPRESSO input format:
```
&SYSTEM
  ibrav = 0, nat = 3, ntyp = 2
/
ATOMIC_SPECIES
Y 88.91 Y.upf
Be 9.01 Be.upf
CELL_PARAMETERS angstrom
-1.5516 2.1421 3.8182
1.5516 -2.1421 3.8182
1.5516 2.1421 -3.8182
ATOMIC_POSITIONS crystal
Y 0.0000 0.0000 0.0000
Be 0.6460 0.6460 0.0000
Be 0.3540 0.3540 0.0000
```


CaAcPmTl: optimized geometry, GGA-PBE. Values from VASP.

Summary:
DFT formation energy ... 0.17 eV per formula unit

The structure in Quantum ESPRESSO input format:
```
&SYSTEM
  ibrav = 0, nat = 4, ntyp = 4
/
ATOMIC_SPECIES
Ac 227.00 Ac.upf
Ca 40.08 Ca.upf
Tl 204.38 Tl.upf
Pm 145.00 Pm.upf
CELL_PARAMETERS angstrom
5.7943 0.0000 0.0000
2.8972 5.0180 0.0000
2.8972 1.6727 4.7311
ATOMIC_POSITIONS crystal
Ac 0.5000 0.5000 0.5000
Ca 0.7500 0.7500 0.7500
Tl 0.0000 0.0000 0.0000
Pm 0.2500 0.2500 0.2500
```


SrPt7: optimized geometry, GGA-PBE. Values from VASP.

Summary:
DFT formation energy ... -1.13 eV per formula unit

The structure in Quantum ESPRESSO input format:
```
&SYSTEM
  ibrav = 0, nat = 8, ntyp = 2
/
ATOMIC_SPECIES
Sr 87.62 Sr.upf
Pt 195.08 Pt.upf
CELL_PARAMETERS angstrom
-5.0533 -0.4252 2.7473
-1.6546 4.1459 3.6521
-4.3517 3.5140 -1.4066
ATOMIC_POSITIONS crystal
Sr 0.0000 0.0000 0.0000
Pt 0.5000 0.0000 0.0000
Pt 0.0000 0.0000 0.5000
Pt 0.5000 0.0000 0.5000
Pt 0.0000 0.5000 0.0000
Pt 0.5000 0.5000 0.0000
Pt 0.0000 0.5000 0.5000
Pt 0.5000 0.5000 0.5000
```


MgGaMo2P: optimized geometry, GGA-PBE. Values from VASP.

Summary:
DFT formation energy ... 6.68 eV per formula unit

The structure in Quantum ESPRESSO input format:
```
&SYSTEM
  ibrav = 0, nat = 5, ntyp = 4
/
ATOMIC_SPECIES
P 30.97 P.upf
Mo 95.94 Mo.upf
Mg 24.30 Mg.upf
Ga 69.72 Ga.upf
CELL_PARAMETERS angstrom
-2.4863 -3.1640 -2.5506
3.8966 -2.3288 -0.9096
-0.6614 -2.6352 3.9136
ATOMIC_POSITIONS crystal
P 0.5000 0.5000 0.5000
Mo 0.0000 0.0000 0.5000
Mo 0.5000 0.0000 0.0000
Mg 0.0000 0.5000 0.0000
Ga 0.0000 0.0000 0.0000
```


RbLa2Ni: optimized geometry, GGA-PBE. Values from VASP.

Summary:
DFT formation energy ... 1.29 eV per formula unit
Energy above the most stable polymorph in this dataset ... 7.38 kcal/mol of atoms

The structure in Quantum ESPRESSO input format:
```
&SYSTEM
  ibrav = 0, nat = 8, ntyp = 3
/
ATOMIC_SPECIES
Ni 58.69 Ni.upf
Rb 85.47 Rb.upf
La 138.91 La.upf
CELL_PARAMETERS angstrom
-2.3933 -8.5022 -1.4995
7.2775 -2.8239 4.3963
0.4153 -5.6821 4.7914
ATOMIC_POSITIONS crystal
Ni 0.5000 0.5000 0.0000
Ni 0.2500 0.7500 0.5000
Rb 0.0000 0.0000 0.0000
Rb 0.7500 0.2500 0.5000
La 0.5043 0.1250 0.2500
La 0.2457 0.6250 0.2500
La 0.3750 0.4957 0.7500
La 0.8750 0.7543 0.7500
```


RbCrP: optimized geometry, GGA-PBE. Values from VASP.

Summary:
DFT formation energy ... 0.14 eV per formula unit
Energy above the most stable polymorph in this dataset ... 7.40 kcal/mol of atoms

The structure in Quantum ESPRESSO input format:
```
&SYSTEM
  ibrav = 0, nat = 6, ntyp = 3
/
ATOMIC_SPECIES
Rb 85.47 Rb.upf
Cr 52.00 Cr.upf
P 30.97 P.upf
CELL_PARAMETERS angstrom
3.1945 0.0000 -0.0012
0.0000 4.6713 0.0000
-1.5465 0.0000 11.6866
ATOMIC_POSITIONS crystal
Rb 0.9206 0.5000 0.8220
Rb 0.6415 0.0000 0.2453
Cr 0.7826 0.7094 0.5370
Cr 0.7826 0.2906 0.5370
P 0.2177 0.5000 0.4030
P 0.3373 0.0000 0.6497
```


Ba2BePb: optimized geometry, GGA-PBE. Values from VASP.

Summary:
DFT formation energy ... 1.11 eV per formula unit
Energy above the most stable polymorph in this dataset ... 8.45 kcal/mol of atoms

The structure in Quantum ESPRESSO input format:
```
&SYSTEM
  ibrav = 0, nat = 4, ntyp = 3
/
ATOMIC_SPECIES
Pb 207.20 Pb.upf
Be 9.01 Be.upf
Ba 137.33 Ba.upf
CELL_PARAMETERS angstrom
-4.4020 1.9698 2.7205
-2.9499 -1.9227 4.2732
2.9293 3.4958 6.0238
ATOMIC_POSITIONS crystal
Pb 0.7500 0.7500 0.7500
Be 0.2500 0.2500 0.2500
Ba 0.9911 0.9911 0.0181
Ba 0.5089 0.5089 0.4819
```


Ca2InPdCl: optimized geometry, GGA-PBE. Values from VASP.

Summary:
Formation energy (no corrections) ... -0.348 eV/atom

The structure in Quantum ESPRESSO input format:
```
&SYSTEM
  ibrav = 0, nat = 5, ntyp = 4
/
ATOMIC_SPECIES
Ca 40.08 Ca.upf
Cl 35.45 Cl.upf
Pd 106.42 Pd.upf
In 114.82 In.upf
CELL_PARAMETERS angstrom
-5.4366 -1.4747 -0.8679
1.0032 -4.4703 1.3116
-1.2200 1.3136 5.4102
ATOMIC_POSITIONS crystal
Ca 0.0000 0.0000 0.5000
Ca 0.5000 0.0000 0.0000
Cl 0.0000 0.5000 0.0000
Pd 0.0000 0.0000 0.0000
In 0.5000 0.5000 0.5000
```


Zn3IrI9: optimized geometry, GGA-PBE. Values from VASP.

Summary:
Formation energy (no corrections) ... -0.322 eV/atom

The structure in Quantum ESPRESSO input format:
```
&SYSTEM
  ibrav = 0, nat = 26, ntyp = 3
/
ATOMIC_SPECIES
Zn 65.41 Zn.upf
Ir 192.22 Ir.upf
I 126.90 I.upf
CELL_PARAMETERS angstrom
-4.4300 -0.4331 -8.8015
2.0709 -8.5377 -6.1484
-10.3924 -6.3463 0.0168
ATOMIC_POSITIONS crystal
Zn 0.7862 0.5837 0.6886
Zn 0.9415 0.0837 0.1886
Zn 0.0175 0.9328 0.8214
Zn 0.2283 0.4328 0.3214
Zn 0.5506 0.2411 0.7357
Zn 0.4726 0.7411 0.2357
Ir 0.0253 0.5039 0.0037
Ir 0.4671 0.0039 0.5037
I 0.3702 0.1541 0.3149
I 0.1608 0.6541 0.8149
I 0.3097 0.2715 0.9439
I 0.4750 0.7715 0.4439
I 0.1493 0.0781 0.6313
I 0.1413 0.5781 0.1313
I 0.7507 0.7393 0.0666
I 0.4434 0.2393 0.5666
I 0.7903 0.9424 0.3765
I 0.8908 0.4424 0.8765
I 0.5271 0.8353 0.7037
I 0.9338 0.3353 0.2037
I 0.4930 0.4842 0.2545
I 0.7682 0.9842 0.7545
I 0.7076 0.4078 0.6252
I 0.2594 0.9078 0.1252
I 0.8499 0.0833 0.0119
I 0.0549 0.5833 0.5119
```


Tb2Ce2Ge: optimized geometry, GGA-PBE. Values from VASP.

Summary:
DFT formation energy ... 1.21 eV per formula unit

The structure in Quantum ESPRESSO input format:
```
&SYSTEM
  ibrav = 0, nat = 5, ntyp = 3
/
ATOMIC_SPECIES
Tb 158.93 Tb.upf
Ce 140.12 Ce.upf
Ge 72.64 Ge.upf
CELL_PARAMETERS angstrom
-4.0035 0.1424 -1.2726
-1.2791 -0.6476 3.9513
2.5110 8.9391 0.0423
ATOMIC_POSITIONS crystal
Tb 0.7500 0.2500 0.5000
Tb 0.2500 0.7500 0.5000
Ce 0.4230 0.4230 0.8460
Ce 0.5770 0.5770 0.1540
Ge 0.0000 0.0000 0.0000
```


SnAsOsAuCl: optimized geometry, GGA-PBE. Values from VASP.

Summary:
Formation energy (no corrections) ... 0.229 eV/atom
Energy above the most stable polymorph in this dataset ... 4.50 kcal/mol of atoms

The structure in Quantum ESPRESSO input format:
```
&SYSTEM
  ibrav = 0, nat = 5, ntyp = 5
/
ATOMIC_SPECIES
Os 190.23 Os.upf
As 74.92 As.upf
Au 196.97 Au.upf
Sn 118.71 Sn.upf
Cl 35.45 Cl.upf
CELL_PARAMETERS angstrom
-3.0351 2.3951 2.1559
1.9194 -1.7729 4.6485
4.2043 3.9200 -2.9478
ATOMIC_POSITIONS crystal
Os 0.6475 0.0971 0.2849
As 0.4537 0.0429 0.8967
Au 0.5834 0.5436 0.1589
Sn 0.1875 0.8808 0.3663
Cl 0.8410 0.4372 0.6715
```


HoBeTc: optimized geometry, GGA-PBE. Values from VASP.

Summary:
DFT formation energy ... 0.82 eV per formula unit

The structure in Quantum ESPRESSO input format:
```
&SYSTEM
  ibrav = 0, nat = 6, ntyp = 3
/
ATOMIC_SPECIES
Ho 164.93 Ho.upf
Tc 98.00 Tc.upf
Be 9.01 Be.upf
CELL_PARAMETERS angstrom
-1.0682 1.6782 3.2778
2.4962 -1.4516 1.5567
6.5267 6.3250 -1.1112
ATOMIC_POSITIONS crystal
Ho 0.2500 0.8917 0.2166
Ho 0.7500 0.1083 0.7834
Tc 0.2500 0.2447 0.5106
Tc 0.7500 0.7553 0.4894
Be 0.2500 0.5198 0.9605
Be 0.7500 0.4802 0.0395
```


Ga3RePt: optimized geometry, GGA-PBE. Values from VASP.

Summary:
DFT formation energy ... 3.52 eV per formula unit
Energy above the most stable polymorph in this dataset ... 0.00 kcal/mol of atoms

The structure in Quantum ESPRESSO input format:
```
&SYSTEM
  ibrav = 0, nat = 5, ntyp = 3
/
ATOMIC_SPECIES
Re 186.21 Re.upf
Ga 69.72 Ga.upf
Pt 195.08 Pt.upf
CELL_PARAMETERS angstrom
-4.4143 -1.1403 1.3864
-0.3807 -3.0020 -3.6812
1.7542 -3.5208 2.6898
ATOMIC_POSITIONS crystal
Re 0.0000 0.0000 0.0000
Ga 0.0000 0.5000 0.0000
Ga 0.0000 0.0000 0.5000
Ga 0.5000 0.0000 0.0000
Pt 0.5000 0.5000 0.5000
```


YMg2P: optimized geometry, GGA-PBE. Values from VASP.

Summary:
DFT formation energy ... -1.84 eV per formula unit

The structure in Quantum ESPRESSO input format:
```
&SYSTEM
  ibrav = 0, nat = 4, ntyp = 3
/
ATOMIC_SPECIES
Mg 24.30 Mg.upf
P 30.97 P.upf
Y 88.91 Y.upf
CELL_PARAMETERS angstrom
3.9616 0.0000 0.0000
0.0000 5.3494 0.0043
0.0000 2.5644 4.7038
ATOMIC_POSITIONS crystal
Mg 0.0000 0.0725 0.0719
Mg 0.0000 0.4275 0.4281
P 0.5000 0.2500 0.2500
Y 0.5000 0.7500 0.7500
```


Ti3BeFe: optimized geometry, GGA-PBE. Values from VASP.

Summary:
DFT formation energy ... 3.53 eV per formula unit
Energy above the most stable polymorph in this dataset ... 3.76 kcal/mol of atoms

The structure in Quantum ESPRESSO input format:
```
&SYSTEM
  ibrav = 0, nat = 5, ntyp = 3
/
ATOMIC_SPECIES
Be 9.01 Be.upf
Fe 55.84 Fe.upf
Ti 47.87 Ti.upf
CELL_PARAMETERS angstrom
4.2729 0.0000 0.0000
0.0000 4.2729 0.0000
0.0000 0.0000 4.2729
ATOMIC_POSITIONS crystal
Be 0.0000 0.0000 0.0000
Fe 0.5000 0.5000 0.5000
Ti 0.0000 0.5000 0.0000
Ti 0.0000 0.0000 0.5000
Ti 0.5000 0.0000 0.0000
```


K3HfCl: optimized geometry, GGA-PBE. Values from VASP.

Summary:
Formation energy (no corrections) ... 0.226 eV/atom
Energy above the most stable polymorph in this dataset ... 0.00 kcal/mol of atoms

The structure in Quantum ESPRESSO input format:
```
&SYSTEM
  ibrav = 0, nat = 5, ntyp = 3
/
ATOMIC_SPECIES
K 39.10 K.upf
Hf 178.49 Hf.upf
Cl 35.45 Cl.upf
CELL_PARAMETERS angstrom
-3.2231 -5.0149 1.1819
3.0976 -0.7720 5.1715
-4.1172 3.3451 2.9655
ATOMIC_POSITIONS crystal
K 0.0000 0.5000 0.0000
K 0.0000 0.0000 0.5000
K 0.5000 0.0000 0.0000
Hf 0.5000 0.5000 0.5000
Cl 0.0000 0.0000 0.0000
```


PtAu2Cl: optimized geometry, GGA-PBE. Values from VASP.

Summary:
Formation energy (no corrections) ... 0.219 eV/atom
Energy above the most stable polymorph in this dataset ... 1.39 kcal/mol of atoms

The structure in Quantum ESPRESSO input format:
```
&SYSTEM
  ibrav = 0, nat = 4, ntyp = 3
/
ATOMIC_SPECIES
Au 196.97 Au.upf
Cl 35.45 Cl.upf
Pt 195.08 Pt.upf
CELL_PARAMETERS angstrom
-0.8374 -0.2063 2.9299
2.6583 -1.3867 -0.5822
4.1301 7.2088 1.6881
ATOMIC_POSITIONS crystal
Au 0.0000 0.0000 0.9975
Au 0.0000 0.0000 0.5025
Cl 0.5000 0.5000 0.2500
Pt 0.5000 0.5000 0.7500
```